{
  "formula": "PmSm2Be",
  "functional": "GGA-PBE",
  "state": "relaxed",
  "lattice": [[3.550, 0.000, 0.000], [0.000, 3.550, 0.000], [0.000, 0.000, 8.736]],
  "species": ["Be", "Sm", "Sm", "Pm"],
  "frac_coords": [[0.500, 0.500, 0.000], [0.000, 0.000, 0.808], [0.000, 0.000, 0.192], [0.500, 0.500, 0.500]],
  "dft_energy_ev_per_cell": -17.52,
  "e_above_lowest_polymorph_mev_per_atom": 0.0,
  "total_magnetization_mub_per_atom": 0.0000,
  "delta_e_f_kj_per_mol_atoms": 9.5
}